No. 1
Computed, not measured: a geometry-optimized SmAgP2O6 structure at the PBE level of DFT.

Results
formation energy from raw total energies = -2.092 eV per atom

a b c (Å): 6.9065 6.9065 7.9468
angles (deg): 106.96 106.96 101.70
With the nearest neighbours (Å) after each atom.
Fractional positions:
Sm (0.0629, 0.9371, 0.7500)  6 O 2.32-2.57
Sm (0.9371, 0.0629, 0.2500)  6 O 2.32-2.57
Ag (0.3361, 0.6639, 0.2500)  2 P 2.39, 2 O 2.57
Ag (0.6639, 0.3361, 0.7500)  2 P 2.39, 2 O 2.57
P (0.0190, 0.3783, 0.7569)  3 O 1.52-1.54
P (0.3783, 0.0190, 0.2569)  3 O 1.52-1.54
P (0.6217, 0.9810, 0.7431)  3 O 1.52-1.54
P (0.9810, 0.6217, 0.2431)  3 O 1.52-1.54
O (0.0081, 0.1987, 0.5812)  1 P 1.54
O (0.0514, 0.5975, 0.7448)  1 P 1.52
O (0.1702, 0.3506, 0.9278)  1 P 1.54
O (0.1987, 0.0081, 0.0812)  1 P 1.54
O (0.3506, 0.1702, 0.4278)  1 P 1.54
O (0.4025, 0.9486, 0.7552)  1 P 1.52
O (0.5975, 0.0514, 0.2448)  1 P 1.52
O (0.6494, 0.8298, 0.5722)  1 P 1.54
O (0.8013, 0.9919, 0.9188)  1 P 1.54
O (0.8298, 0.6494, 0.0722)  1 P 1.54
O (0.9486, 0.4025, 0.2552)  1 P 1.52
O (0.9919, 0.8013, 0.4188)  1 P 1.54

***

No. 2
Computed, not measured: a geometry-optimized AcMgGa4Pd2 structure at the PBE level of DFT.

Results
ΔH_f (0 K) = -0.560 eV per atom

a b c (Å): 9.8700 9.8700 9.8700
angles (deg): 25.76 25.76 25.76
With the nearest neighbours (Å) after each atom.
Fractional positions:
Ac (0.0000, 0.0000, 0.0000)  8 Ga 3.22-3.47
Mg (0.5000, 0.5000, 0.5000)  8 Ga 2.78-2.85, 6 Pd 3.03
Ga (0.1214, 0.1214, 0.1214)  3 Pd 2.57, 3 Mg 2.85
Ga (0.4027, 0.4027, 0.4027)  3 Pd 2.78, 1 Mg 2.78, 3 Ga 2.94
Ga (0.5973, 0.5973, 0.5973)  3 Pd 2.78, 1 Mg 2.78, 3 Ga 2.94
Ga (0.8786, 0.8786, 0.8786)  3 Pd 2.57, 3 Mg 2.85
Pd (0.2244, 0.2244, 0.2244)  6 Ga 2.57-2.78
Pd (0.7756, 0.7756, 0.7756)  6 Ga 2.57-2.78

***

No. 3
Computed, not measured: a geometry-optimized PmPuF6 structure at the PBE level of DFT.

Results
formation energy from raw total energies = -3.788 eV per atom
polymorph energy (0 for the lowest one) = 0 meV per atom

a b c (Å): 5.7920 5.7935 6.5959
angles (deg): 64.08 64.05 60.18
With the nearest neighbours (Å) after each atom.
Fractional positions:
Pm (0.0000, 0.0000, 0.0000)  6 F 2.27
Pu (0.5000, 0.5000, 0.5000)  6 F 2.30
F (0.1403, 0.7454, 0.7558)  1 Pm 2.27, 1 Pu 2.30
F (0.2526, 0.6426, 0.2450)  1 Pm 2.27, 1 Pu 2.30
F (0.3587, 0.1394, 0.7554)  1 Pm 2.27, 1 Pu 2.30
F (0.6413, 0.8606, 0.2446)  1 Pm 2.27, 1 Pu 2.30
F (0.7474, 0.3574, 0.7550)  1 Pm 2.27, 1 Pu 2.30
F (0.8597, 0.2546, 0.2442)  1 Pm 2.27, 1 Pu 2.30

***

No. 4
Computed, not measured: a geometry-optimized Cd2AgCl structure at the PBE level of DFT.

Results
formation energy from raw total energies = -0.199 eV per atom
polymorph energy (0 for the lowest one) = 65 meV per atom

a b c (Å): 8.4895 8.4895 8.4895
angles (deg): 24.32 24.32 24.32
With the nearest neighbours (Å) after each atom.
Fractional positions:
Cd (0.0000, 0.0000, 0.0000)  3 Cl 2.87, 3 Cd 3.02
Cd (0.2441, 0.2441, 0.2441)  3 Ag 2.87, 3 Cd 3.02
Ag (0.4965, 0.4965, 0.4965)  3 Cd 2.87, 3 Cl 2.90
Cl (0.7476, 0.7476, 0.7476)  3 Cd 2.87, 3 Ag 2.90

***

No. 5
Computed, not measured: a geometry-optimized Ce5Nd12Te3 structure at the PBE level of DFT.

Results
formation energy from raw total energies = 0.359 eV per atom

a b c (Å): 15.4370 15.4370 15.4370
angles (deg): 109.47 109.47 109.47
With the nearest neighbours (Å) after each atom.
Fractional positions:
Ce (0.0000, 0.0000, 0.0000)  6 Nd 3.02
Ce (0.0000, 0.0000, 0.5000)  6 Nd 3.02
Ce (0.0000, 0.5000, 0.0000)  6 Nd 3.02
Ce (0.0000, 0.5000, 0.5000)  6 Nd 3.02
Ce (0.1250, 0.7500, 0.8750)  4 Nd 2.89
Ce (0.1250, 0.8750, 0.2500)  4 Nd 2.89
Ce (0.2500, 0.1250, 0.8750)  4 Nd 2.89
Ce (0.2500, 0.6250, 0.3750)  4 Nd 2.89
Ce (0.3750, 0.2500, 0.6250)  4 Nd 2.89
Ce (0.3750, 0.6250, 0.7500)  4 Nd 2.89
Ce (0.5000, 0.0000, 0.0000)  6 Nd 3.02
Ce (0.5000, 0.0000, 0.5000)  6 Nd 3.02
Ce (0.5000, 0.5000, 0.0000)  6 Nd 3.02
Ce (0.5000, 0.5000, 0.5000)  6 Nd 3.02
Ce (0.6250, 0.3750, 0.2500)  4 Nd 2.89
Ce (0.6250, 0.7500, 0.3750)  4 Nd 2.89
Ce (0.7500, 0.3750, 0.6250)  4 Nd 2.89
Ce (0.7500, 0.8750, 0.1250)  4 Nd 2.89
Ce (0.8750, 0.1250, 0.7500)  4 Nd 2.89
Ce (0.8750, 0.2500, 0.1250)  4 Nd 2.89
Nd (0.0554, 0.2224, 0.1427)  2 Ce 2.89-3.02, 1 Te 3.21
Nd (0.0554, 0.3330, 0.9127)  2 Ce 2.89-3.02, 1 Te 3.21
Nd (0.0797, 0.7224, 0.6670)  2 Ce 2.89-3.02, 1 Te 3.21
Nd (0.0797, 0.8573, 0.4127)  2 Ce 2.89-3.02, 1 Te 3.21
Nd (0.0873, 0.6427, 0.4203)  2 Ce 2.89-3.02, 1 Te 3.21
Nd (0.0873, 0.9446, 0.6670)  2 Ce 2.89-3.02, 1 Te 3.21
Nd (0.1427, 0.0554, 0.2224)  2 Ce 2.89-3.02, 1 Te 3.21
Nd (0.1427, 0.5873, 0.9203)  2 Ce 2.89-3.02, 1 Te 3.21
Nd (0.1670, 0.2224, 0.5797)  2 Ce 2.89-3.02, 1 Te 3.21
Nd (0.1670, 0.4446, 0.5873)  2 Ce 2.89-3.02, 1 Te 3.21
Nd (0.2224, 0.1427, 0.0554)  2 Ce 2.89-3.02, 1 Te 3.21
Nd (0.2224, 0.5797, 0.1670)  2 Ce 2.89-3.02, 1 Te 3.21
Nd (0.2776, 0.3330, 0.9203)  2 Ce 2.89-3.02, 1 Te 3.21
Nd (0.2776, 0.4446, 0.3573)  2 Ce 2.89-3.02, 1 Te 3.21
Nd (0.3330, 0.9127, 0.0554)  2 Ce 2.89-3.02, 1 Te 3.21
Nd (0.3330, 0.9203, 0.2776)  2 Ce 2.89-3.02, 1 Te 3.21
Nd (0.3573, 0.2776, 0.4446)  2 Ce 2.89-3.02, 1 Te 3.21
Nd (0.3573, 0.5797, 0.9127)  2 Ce 2.89-3.02, 1 Te 3.21
Nd (0.4127, 0.0797, 0.8573)  2 Ce 2.89-3.02, 1 Te 3.21
Nd (0.4127, 0.8330, 0.5554)  2 Ce 2.89-3.02, 1 Te 3.21
Nd (0.4203, 0.0873, 0.6427)  2 Ce 2.89-3.02, 1 Te 3.21
Nd (0.4203, 0.8330, 0.7776)  2 Ce 2.89-3.02, 1 Te 3.21
Nd (0.4446, 0.3573, 0.2776)  2 Ce 2.89-3.02, 1 Te 3.21
Nd (0.4446, 0.5873, 0.1670)  2 Ce 2.89-3.02, 1 Te 3.21
Nd (0.5554, 0.4127, 0.8330)  2 Ce 2.89-3.02, 1 Te 3.21
Nd (0.5554, 0.6427, 0.7224)  2 Ce 2.89-3.02, 1 Te 3.21
Nd (0.5797, 0.1670, 0.2224)  2 Ce 2.89-3.02, 1 Te 3.21
Nd (0.5797, 0.9127, 0.3573)  2 Ce 2.89-3.02, 1 Te 3.21
Nd (0.5873, 0.1670, 0.4446)  2 Ce 2.89-3.02, 1 Te 3.21
Nd (0.5873, 0.9203, 0.1427)  2 Ce 2.89-3.02, 1 Te 3.21
Nd (0.6427, 0.4203, 0.0873)  2 Ce 2.89-3.02, 1 Te 3.21
Nd (0.6427, 0.7224, 0.5554)  2 Ce 2.89-3.02, 1 Te 3.21
Nd (0.6670, 0.0797, 0.7224)  2 Ce 2.89-3.02, 1 Te 3.21
Nd (0.6670, 0.0873, 0.9446)  2 Ce 2.89-3.02, 1 Te 3.21
Nd (0.7224, 0.5554, 0.6427)  2 Ce 2.89-3.02, 1 Te 3.21
Nd (0.7224, 0.6670, 0.0797)  2 Ce 2.89-3.02, 1 Te 3.21
Nd (0.7776, 0.4203, 0.8330)  2 Ce 2.89-3.02, 1 Te 3.21
Nd (0.7776, 0.8573, 0.9446)  2 Ce 2.89-3.02, 1 Te 3.21
Nd (0.8330, 0.5554, 0.4127)  2 Ce 2.89-3.02, 1 Te 3.21
Nd (0.8330, 0.7776, 0.4203)  2 Ce 2.89-3.02, 1 Te 3.21
Nd (0.8573, 0.4127, 0.0797)  2 Ce 2.89-3.02, 1 Te 3.21
Nd (0.8573, 0.9446, 0.7776)  2 Ce 2.89-3.02, 1 Te 3.21
Nd (0.9127, 0.0554, 0.3330)  2 Ce 2.89-3.02, 1 Te 3.21
Nd (0.9127, 0.3573, 0.5797)  2 Ce 2.89-3.02, 1 Te 3.21
Nd (0.9203, 0.1427, 0.5873)  2 Ce 2.89-3.02, 1 Te 3.21
Nd (0.9203, 0.2776, 0.3330)  2 Ce 2.89-3.02, 1 Te 3.21
Nd (0.9446, 0.6670, 0.0873)  2 Ce 2.89-3.02, 1 Te 3.21
Nd (0.9446, 0.7776, 0.8573)  2 Ce 2.89-3.02, 1 Te 3.21
Te (0.1250, 0.2500, 0.3750)  8 Nd 3.21-3.30
Te (0.1250, 0.3750, 0.7500)  8 Nd 3.21-3.30
Te (0.2500, 0.3750, 0.1250)  8 Nd 3.21-3.30
Te (0.2500, 0.8750, 0.6250)  8 Nd 3.21-3.30
Te (0.3750, 0.1250, 0.2500)  8 Nd 3.21-3.30
Te (0.3750, 0.7500, 0.1250)  8 Nd 3.21-3.30
Te (0.6250, 0.2500, 0.8750)  8 Nd 3.21-3.30
Te (0.6250, 0.8750, 0.7500)  8 Nd 3.21-3.30
Te (0.7500, 0.1250, 0.3750)  8 Nd 3.21-3.30
Te (0.7500, 0.6250, 0.8750)  8 Nd 3.21-3.30
Te (0.8750, 0.6250, 0.2500)  8 Nd 3.21-3.30
Te (0.8750, 0.7500, 0.6250)  8 Nd 3.21-3.30

***

No. 6
Computed, not measured: a geometry-optimized Li5Ac2Pd5 structure at the PBE level of DFT.

Results
ΔH_f (0 K) = -0.518 eV per atom

a b c (Å): 4.4368 5.3640 9.7070
angles (deg): 90.00 90.00 90.00
With the nearest neighbours (Å) after each atom.
Fractional positions:
Li (0.0000, 0.0000, 0.0000)  4 Pd 2.76, 4 Li 2.83
Li (0.0000, 0.2529, 0.2559)  3 Li 2.65-2.83, 5 Pd 2.66-2.73
Li (0.0000, 0.2529, 0.7441)  3 Li 2.65-2.83, 5 Pd 2.66-2.73
Li (0.0000, 0.7471, 0.2559)  3 Li 2.65-2.83, 5 Pd 2.66-2.73
Li (0.0000, 0.7471, 0.7441)  3 Li 2.65-2.83, 5 Pd 2.66-2.73
Ac (0.5000, 0.0000, 0.5000)  10 Pd 3.20-3.48, 8 Li 3.52
Ac (0.5000, 0.5000, 0.0000)  6 Pd 3.11-3.15
Pd (0.0000, 0.5000, 0.5000)  4 Li 2.71, 4 Pd 2.82
Pd (0.5000, 0.0000, 0.1696)  6 Li 2.73-2.76, 2 Pd 3.05
Pd (0.5000, 0.0000, 0.8304)  6 Li 2.73-2.76, 2 Pd 3.05
Pd (0.5000, 0.5000, 0.3201)  4 Li 2.66, 2 Pd 2.82
Pd (0.5000, 0.5000, 0.6799)  4 Li 2.66, 2 Pd 2.82

***

No. 7
Computed, not measured: a geometry-optimized SmTm8Te2 structure at the PBE level of DFT.

Results
formation energy from raw total energies = -0.141 eV per atom

a b c (Å): 10.4887 10.4887 3.8140
angles (deg): 94.92 94.92 64.15
With the nearest neighbours (Å) after each atom.
Fractional positions:
Sm (0.0000, 0.0000, 0.0000)  4 Te 3.11-3.15, 4 Tm 3.42
Tm (0.1743, 0.6545, 0.2222)  1 Te 3.18, 3 Tm 3.28-3.53, 1 Sm 3.42
Tm (0.2734, 0.2734, 0.1435)  2 Te 3.01-3.05, 1 Tm 3.36
Tm (0.3455, 0.8257, 0.7778)  1 Te 3.18, 3 Tm 3.28-3.53, 1 Sm 3.42
Tm (0.4305, 0.4305, 0.7207)  8 Tm 3.09-3.38
Tm (0.5695, 0.5695, 0.2793)  8 Tm 3.09-3.38
Tm (0.6545, 0.1743, 0.2222)  1 Te 3.18, 3 Tm 3.28-3.53, 1 Sm 3.42
Tm (0.7266, 0.7266, 0.8565)  2 Te 3.01-3.05, 1 Tm 3.36
Tm (0.8257, 0.3455, 0.7778)  1 Te 3.18, 3 Tm 3.28-3.53, 1 Sm 3.42
Te (0.1403, 0.1403, 0.5730)  4 Tm 3.01-3.18, 2 Sm 3.11-3.15
Te (0.8597, 0.8597, 0.4270)  4 Tm 3.01-3.18, 2 Sm 3.11-3.15

***

No. 8
Computed, not measured: a geometry-optimized Sc4Ga12Fe structure at the PBE level of DFT.

Results
ΔH_f (0 K) = -0.470 eV per atom

a b c (Å): 7.2199 7.2199 7.2199
angles (deg): 109.47 109.47 109.47
With the nearest neighbours (Å) after each atom.
Fractional positions:
Sc (0.0000, 0.0000, 0.5000)  12 Ga 2.95-2.96
Sc (0.0000, 0.5000, 0.0000)  12 Ga 2.95-2.96
Sc (0.5000, 0.0000, 0.0000)  12 Ga 2.95-2.96
Sc (0.5000, 0.5000, 0.5000)  12 Ga 2.95-2.96
Ga (0.0000, 0.2835, 0.2835)  1 Fe 2.36
Ga (0.0000, 0.7165, 0.7165)  1 Fe 2.36
Ga (0.2500, 0.5000, 0.7500)  8 Ga 2.76-2.95, 4 Sc 2.95
Ga (0.2500, 0.7500, 0.5000)  8 Ga 2.76-2.95, 4 Sc 2.95
Ga (0.2835, 0.0000, 0.2835)  1 Fe 2.36
Ga (0.2835, 0.2835, 0.0000)  1 Fe 2.36
Ga (0.5000, 0.2500, 0.7500)  8 Ga 2.76-2.95, 4 Sc 2.95
Ga (0.5000, 0.7500, 0.2500)  8 Ga 2.76-2.95, 4 Sc 2.95
Ga (0.7165, 0.0000, 0.7165)  1 Fe 2.36
Ga (0.7165, 0.7165, 0.0000)  1 Fe 2.36
Ga (0.7500, 0.2500, 0.5000)  8 Ga 2.76-2.95, 4 Sc 2.95
Ga (0.7500, 0.5000, 0.2500)  8 Ga 2.76-2.95, 4 Sc 2.95
Fe (0.0000, 0.0000, 0.0000)  6 Ga 2.36

***

No. 9
Computed, not measured: a geometry-optimized PuCoCl6 structure at the PBE level of DFT.

Results
formation energy from raw total energies = -1.202 eV per atom
polymorph energy (0 for the lowest one) = 0 meV per atom

a b c (Å): 6.8728 6.8728 6.3067
angles (deg): 90.78 90.78 118.77
With the nearest neighbours (Å) after each atom.
Fractional positions:
Pu (0.0000, 0.0000, 0.0000)  6 Cl 2.64
Co (0.0000, 0.0000, 0.5000)  6 Cl 2.32-2.33
Cl (0.0033, 0.7237, 0.2841)  1 Co 2.33
Cl (0.2724, 0.2724, 0.2970)  1 Co 2.32
Cl (0.2763, 0.9967, 0.7159)  1 Co 2.33
Cl (0.7237, 0.0033, 0.2841)  1 Co 2.33
Cl (0.7276, 0.7276, 0.7030)  1 Co 2.32
Cl (0.9967, 0.2763, 0.7159)  1 Co 2.33

***

No. 10
Computed, not measured: a geometry-optimized Pm6Ni2PtI3 structure at the PBE level of DFT.

Results
formation energy from raw total energies = -0.821 eV per atom

a b c (Å): 7.2122 7.2122 8.3824
angles (deg): 98.24 98.24 120.03
With the nearest neighbours (Å) after each atom.
Fractional positions:
Pm (0.0960, 0.4390, 0.8172)  2 Ni 2.79, 1 Pt 2.88
Pm (0.2176, 0.2176, 0.1825)  2 Ni 2.79, 1 Pt 2.88
Pm (0.4390, 0.0960, 0.8172)  2 Ni 2.79, 1 Pt 2.88
Pm (0.5610, 0.9040, 0.1828)  2 Ni 2.79, 1 Pt 2.88
Pm (0.7824, 0.7824, 0.8175)  2 Ni 2.79, 1 Pt 2.88
Pm (0.9040, 0.5610, 0.1828)  2 Ni 2.79, 1 Pt 2.88
Ni (0.1667, 0.8333, 0.0000)  6 Pm 2.79
Ni (0.8333, 0.1667, 0.0000)  6 Pm 2.79
Pt (0.5000, 0.5000, 0.0000)  6 Pm 2.88
I (0.0000, 0.0000, 0.5000)  6 Pm 3.46-3.53
I (0.3333, 0.6667, 0.5000)  6 Pm 3.45-3.53
I (0.6667, 0.3333, 0.5000)  6 Pm 3.45-3.53

***

Which mass density belongs to each record? In order, 4.199, 7.716, 5.041, 6.699, 6.601, 7.338, 7.766, 6.146, 3.280, 7.178 g cm⁻³.
Which calculated total energy belongs to each record? In order, -6.91, -4.08, -7.58, -1.83, -4.46, -4.16, -4.39, -4.59, -5.27, -5.05 eV/atom.